Record 1
# Ac2Nd7Y, optimized geometry, DFT PBE-GGA
# magnetization = 0.000 μB/f.u.
# E above lowest polymorph = 0.000 eV/atom
# energy of formation = 0.15 eV/atom
data_Ac2Nd7Y
_chemical_formula_sum 'Ac4 Nd14 Y2'
_symmetry_space_group_name_H-M 'C m m m'
_symmetry_Int_Tables_number 65
_symmetry_space_group_name_Hall '-C 2 2'
_cell_length_a 6.8692
_cell_length_b 30.1345
_cell_length_c 3.6192
_cell_angle_alpha 90.00
_cell_angle_beta 90.00
_cell_angle_gamma 90.00
loop_
_atom_site_label
_atom_site_type_symbol
_atom_site_fract_x
_atom_site_fract_y
_atom_site_fract_z
Ac1 Ac 0.0000 0.2056 0.0000
Nd1 Nd 0.0000 0.0000 0.0000
Nd2 Nd 0.0000 0.3168 0.5000
Nd3 Nd 0.2425 0.4043 0.0000
Y1 Y 0.0000 0.5000 0.5000

Record 2
# Sm3Er2Zn2, optimized geometry, DFT PBE-GGA
# magnetization = 0.011 μB/f.u.
# E above lowest polymorph = 0.043 eV/atom
# energy of formation = -0.09 eV/atom
data_Sm3Er2Zn2
_chemical_formula_sum 'Sm3 Er2 Zn2'
_symmetry_space_group_name_H-M 'P 1 2/m 1'
_symmetry_Int_Tables_number 10
_symmetry_space_group_name_Hall '-P 2y'
_cell_length_a 3.5942
_cell_length_b 3.5621
_cell_length_c 15.4182
_cell_angle_alpha 90.00
_cell_angle_beta 96.67
_cell_angle_gamma 90.00
loop_
_atom_site_label
_atom_site_type_symbol
_atom_site_fract_x
_atom_site_fract_y
_atom_site_fract_z
Sm1 Sm 0.0000 0.0000 0.0000
Sm2 Sm 0.1199 0.0000 0.2414
Er1 Er 0.2985 0.5000 0.5958
Zn1 Zn 0.4404 0.5000 0.8800

Record 3
# SrEuAu, optimized geometry, DFT PBE-GGA
# magnetization = 7.501 μB/f.u.
# E above lowest polymorph = 0.028 eV/atom
# energy of formation = -0.50 eV/atom
data_SrEuAu
_chemical_formula_sum 'Sr1 Eu1 Au1'
_symmetry_space_group_name_H-M 'P 3 m 1'
_symmetry_Int_Tables_number 156
_symmetry_space_group_name_Hall 'P 3 -2"'
_cell_length_a 4.4617
_cell_length_b 4.4617
_cell_length_c 6.9746
_cell_angle_alpha 90.00
_cell_angle_beta 90.00
_cell_angle_gamma 120.00
loop_
_atom_site_label
_atom_site_type_symbol
_atom_site_fract_x
_atom_site_fract_y
_atom_site_fract_z
Sr1 Sr 0.0000 0.0000 0.0000
Eu1 Eu 0.6667 0.3333 0.5085
Au1 Au 0.3333 0.6667 0.7440

Record 4
# PuSn3Au3, optimized geometry, DFT PBE-GGA
# magnetization = 6.018 μB/f.u.
# energy of formation = 0.11 eV/atom
data_PuSn3Au3
_chemical_formula_sum 'Pu2 Sn6 Au6'
_symmetry_space_group_name_H-M 'P m -3 n'
_symmetry_Int_Tables_number 223
_symmetry_space_group_name_Hall '-P 4n 2 3'
_cell_length_a 7.5438
_cell_length_b 7.5438
_cell_length_c 7.5438
_cell_angle_alpha 90.00
_cell_angle_beta 90.00
_cell_angle_gamma 90.00
loop_
_atom_site_label
_atom_site_type_symbol
_atom_site_fract_x
_atom_site_fract_y
_atom_site_fract_z
Pu1 Pu 0.0000 0.0000 0.0000
Sn1 Sn 0.0000 0.2500 0.5000
Au1 Au 0.0000 0.5000 0.2500

Record 5
# Pm4Cd2Ir, optimized geometry, DFT PBE-GGA
# magnetization = 0.000 μB/f.u.
# E above lowest polymorph = 0.051 eV/atom
# energy of formation = -0.19 eV/atom
data_Pm4Cd2Ir
_chemical_formula_sum 'Pm8 Cd4 Ir2'
_symmetry_space_group_name_H-M 'I 4/m m m'
_symmetry_Int_Tables_number 139
_symmetry_space_group_name_Hall '-I 4 2'
_cell_length_a 5.4819
_cell_length_b 5.4819
_cell_length_c 15.4902
_cell_angle_alpha 90.00
_cell_angle_beta 90.00
_cell_angle_gamma 90.00
loop_
_atom_site_label
_atom_site_type_symbol
_atom_site_fract_x
_atom_site_fract_y
_atom_site_fract_z
Pm1 Pm 0.0000 0.0000 0.1812
Pm2 Pm 0.0000 0.5000 0.0000
Cd1 Cd 0.0000 0.0000 0.3815
Ir1 Ir 0.0000 0.0000 0.0000

Record 6
# BaLiCd4Hg2, optimized geometry, DFT PBE-GGA
# magnetization = 0.000 μB/f.u.
# energy of formation = -0.22 eV/atom
data_BaLiCd4Hg2
_chemical_formula_sum 'Ba3 Li3 Cd12 Hg6'
_symmetry_space_group_name_H-M 'R -3 m'
_symmetry_Int_Tables_number 166
_symmetry_space_group_name_Hall '-R 3 2"'
_cell_length_a 4.9395
_cell_length_b 4.9395
_cell_length_c 29.6302
_cell_angle_alpha 90.00
_cell_angle_beta 90.00
_cell_angle_gamma 120.00
loop_
_atom_site_label
_atom_site_type_symbol
_atom_site_fract_x
_atom_site_fract_y
_atom_site_fract_z
Ba1 Ba 0.0000 0.0000 0.0000
Li1 Li 0.0000 0.0000 0.5000
Cd1 Cd 0.0000 0.0000 0.1387
Cd2 Cd 0.0000 0.0000 0.4042
Hg1 Hg 0.0000 0.0000 0.2439

Record 7
# LiCd4Ag, optimized geometry, DFT PBE-GGA
# magnetization = 0.000 μB/f.u.
# E above lowest polymorph = 0.089 eV/atom
# energy of formation = -0.03 eV/atom
data_LiCd4Ag
_chemical_formula_sum 'Li2 Cd8 Ag2'
_symmetry_space_group_name_H-M 'P 1 21/m 1'
_symmetry_Int_Tables_number 11
_symmetry_space_group_name_Hall '-P 2yb'
_cell_length_a 5.1906
_cell_length_b 7.1785
_cell_length_c 7.2657
_cell_angle_alpha 90.00
_cell_angle_beta 106.18
_cell_angle_gamma 90.00
loop_
_atom_site_label
_atom_site_type_symbol
_atom_site_fract_x
_atom_site_fract_y
_atom_site_fract_z
Li1 Li 0.1084 0.2500 0.3697
Cd1 Cd 0.1543 0.7500 0.0433
Cd2 Cd 0.2517 0.0510 0.7396
Cd3 Cd 0.3290 0.7500 0.4611
Ag1 Ag 0.4026 0.2500 0.1181

Record 8
# AlSiSb2, optimized geometry, DFT PBE-GGA
# magnetization = 0.000 μB/f.u.
# E above lowest polymorph = 0.095 eV/atom
# ΔE_f (raw) = 255.2 meV per atom
data_AlSiSb2
_chemical_formula_sum 'Al2 Si2 Sb4'
_symmetry_space_group_name_H-M 'I 4/m m m'
_symmetry_Int_Tables_number 139
_symmetry_space_group_name_Hall '-I 4 2'
_cell_length_a 5.7141
_cell_length_b 5.7141
_cell_length_c 5.8384
_cell_angle_alpha 90.00
_cell_angle_beta 90.00
_cell_angle_gamma 90.00
loop_
_atom_site_label
_atom_site_type_symbol
_atom_site_fract_x
_atom_site_fract_y
_atom_site_fract_z
Al1 Al 0.0000 0.0000 0.0000
Si1 Si 0.0000 0.0000 0.5000
Sb1 Sb 0.0000 0.5000 0.0000

Record 9
# SmDy7Y12, optimized geometry, DFT PBE-GGA
# magnetization = 0.000 μB/f.u.
# E above lowest polymorph = 0.409 eV/atom
# energy of formation = 0.69 eV/atom
data_SmDy7Y12
_chemical_formula_sum 'Sm2 Dy14 Y24'
_symmetry_space_group_name_H-M 'I m -3 m'
_symmetry_Int_Tables_number 229
_symmetry_space_group_name_Hall '-I 4 2 3'
_cell_length_a 11.2938
_cell_length_b 11.2938
_cell_length_c 11.2938
_cell_angle_alpha 90.00
_cell_angle_beta 90.00
_cell_angle_gamma 90.00
loop_
_atom_site_label
_atom_site_type_symbol
_atom_site_fract_x
_atom_site_fract_y
_atom_site_fract_z
Sm1 Sm 0.0000 0.0000 0.0000
Dy1 Dy 0.0000 0.0000 0.5000
Dy2 Dy 0.2500 0.2500 0.2500
Y1 Y 0.0000 0.2518 0.2518

Record 10
# GaB6Pt12, optimized geometry, DFT PBE-GGA
# magnetization = 0.000 μB/f.u.
# energy of formation = -0.21 eV/atom
data_GaB6Pt12
_chemical_formula_sum 'Ga3 B18 Pt36'
_symmetry_space_group_name_H-M 'R -3'
_symmetry_Int_Tables_number 148
_symmetry_space_group_name_Hall '-R 3'
_cell_length_a 11.1629
_cell_length_b 11.1629
_cell_length_c 7.1068
_cell_angle_alpha 90.00
_cell_angle_beta 90.00
_cell_angle_gamma 120.00
loop_
_atom_site_label
_atom_site_type_symbol
_atom_site_fract_x
_atom_site_fract_y
_atom_site_fract_z
Ga1 Ga 0.0000 0.0000 0.0000
B1 B 0.0833 0.5048 0.3188
Pt1 Pt 0.0261 0.2531 0.9369
Pt2 Pt 0.0633 0.1948 0.3595

Record 11
# SrCr2Ag, optimized geometry, DFT PBE-GGA
# magnetization = 8.747 μB/f.u.
# E above lowest polymorph = 0.578 eV/atom
# energy of formation = 0.99 eV/atom
data_SrCr2Ag
_chemical_formula_sum 'Sr3 Cr6 Ag3'
_symmetry_space_group_name_H-M 'R -3 m'
_symmetry_Int_Tables_number 166
_symmetry_space_group_name_Hall '-R 3 2"'
_cell_length_a 3.4318
_cell_length_b 3.4318
_cell_length_c 28.7668
_cell_angle_alpha 90.00
_cell_angle_beta 90.00
_cell_angle_gamma 120.00
loop_
_atom_site_label
_atom_site_type_symbol
_atom_site_fract_x
_atom_site_fract_y
_atom_site_fract_z
Sr1 Sr 0.0000 0.0000 0.0000
Cr1 Cr 0.0000 0.0000 0.2369
Ag1 Ag 0.0000 0.0000 0.5000

Record 12
# Cu3SbPd3, optimized geometry, DFT PBE-GGA
# magnetization = 0.000 μB/f.u.
# ΔE_f (raw) = -143.7 meV per atom
data_Cu3SbPd3
_chemical_formula_sum 'Cu12 Sb4 Pd12'
_symmetry_space_group_name_H-M 'C m m m'
_symmetry_Int_Tables_number 65
_symmetry_space_group_name_Hall '-C 2 2'
_cell_length_a 8.6148
_cell_length_b 8.8409
_cell_length_c 5.7698
_cell_angle_alpha 90.00
_cell_angle_beta 90.00
_cell_angle_gamma 90.00
loop_
_atom_site_label
_atom_site_type_symbol
_atom_site_fract_x
_atom_site_fract_y
_atom_site_fract_z
Cu1 Cu 0.0000 0.2274 0.0000
Cu2 Cu 0.0000 0.2321 0.5000
Cu3 Cu 0.2168 0.0000 0.0000
Sb1 Sb 0.2237 0.0000 0.5000
Pd1 Pd 0.0000 0.5000 0.2473
Pd2 Pd 0.2500 0.2500 0.2427

Record 13
# La2NpTl3S6, optimized geometry, DFT PBE-GGA
# magnetization = 4.000 μB/f.u.
# ΔE_f (raw) = -1345.3 meV per atom
data_La2NpTl3S6
_chemical_formula_sum 'La4 Np2 Tl6 S12'
_symmetry_space_group_name_H-M 'C 1 2/m 1'
_symmetry_Int_Tables_number 12
_symmetry_space_group_name_Hall '-C 2y'
_cell_length_a 7.3153
_cell_length_b 12.6657
_cell_length_c 7.8356
_cell_angle_alpha 90.00
_cell_angle_beta 108.13
_cell_angle_gamma 90.00
loop_
_atom_site_label
_atom_site_type_symbol
_atom_site_fract_x
_atom_site_fract_y
_atom_site_fract_z
La1 La 0.0000 0.1667 0.0000
Np1 Np 0.0000 0.5000 0.0000
Tl1 Tl 0.0000 0.0000 0.5000
Tl2 Tl 0.0000 0.3331 0.5000
S1 S 0.2284 0.3388 0.2012
S2 S 0.2454 0.0000 0.2038

Record 14
# NpBeGeH, optimized geometry, DFT PBE-GGA
# magnetization = 4.003 μB/f.u.
# uncorrected energy = -6.46 eV/atom
data_NpBeGeH
_chemical_formula_sum 'Np1 Be1 Ge1 H1'
_symmetry_space_group_name_H-M 'P 3 m 1'
_symmetry_Int_Tables_number 156
_symmetry_space_group_name_Hall 'P 3 -2"'
_cell_length_a 3.9275
_cell_length_b 3.9275
_cell_length_c 4.1026
_cell_angle_alpha 90.00
_cell_angle_beta 90.00
_cell_angle_gamma 120.00
loop_
_atom_site_label
_atom_site_type_symbol
_atom_site_fract_x
_atom_site_fract_y
_atom_site_fract_z
Np1 Np 0.0000 0.0000 0.0000
Be1 Be 0.6667 0.3333 0.5338
Ge1 Ge 0.3333 0.6667 0.4801
H1 H 0.6667 0.3333 0.9186

Record 15
# LaYNb2Ga, optimized geometry, DFT PBE-GGA
# magnetization = 0.500 μB/f.u.
# energy of formation = 1.13 eV/atom
data_LaYNb2Ga
_chemical_formula_sum 'La1 Y1 Nb2 Ga1'
_symmetry_space_group_name_H-M 'P 4/m m m'
_symmetry_Int_Tables_number 123
_symmetry_space_group_name_Hall '-P 4 2'
_cell_length_a 5.0076
_cell_length_b 5.0076
_cell_length_c 5.4540
_cell_angle_alpha 90.00
_cell_angle_beta 90.00
_cell_angle_gamma 90.00
loop_
_atom_site_label
_atom_site_type_symbol
_atom_site_fract_x
_atom_site_fract_y
_atom_site_fract_z
La1 La 0.0000 0.0000 0.0000
Y1 Y 0.5000 0.5000 0.5000
Nb1 Nb 0.0000 0.5000 0.5000
Ga1 Ga 0.5000 0.5000 0.0000

Record 16
# BaCa6Cd, optimized geometry, DFT PBE-GGA
# magnetization = 0.000 μB/f.u.
# energy of formation = -0.07 eV/atom
data_BaCa6Cd
_chemical_formula_sum 'Ba1 Ca6 Cd1'
_symmetry_space_group_name_H-M 'P 4/m m m'
_symmetry_Int_Tables_number 123
_symmetry_space_group_name_Hall '-P 4 2'
_cell_length_a 9.0363
_cell_length_b 9.0363
_cell_length_c 4.0658
_cell_angle_alpha 90.00
_cell_angle_beta 90.00
_cell_angle_gamma 90.00
loop_
_atom_site_label
_atom_site_type_symbol
_atom_site_fract_x
_atom_site_fract_y
_atom_site_fract_z
Ba1 Ba 0.0000 0.0000 0.0000
Ca1 Ca 0.0000 0.5000 0.0000
Ca2 Ca 0.2909 0.2909 0.5000
Cd1 Cd 0.5000 0.5000 0.0000

Record 17
# Sc3SbS, optimized geometry, DFT PBE-GGA
# magnetization = 0.000 μB/f.u.
# E above lowest polymorph = 0.241 eV/atom
# ΔE_f (raw) = -889.2 meV per atom
data_Sc3SbS
_chemical_formula_sum 'Sc3 Sb1 S1'
_symmetry_space_group_name_H-M 'P m -3 m'
_symmetry_Int_Tables_number 221
_symmetry_space_group_name_Hall '-P 4 2 3'
_cell_length_a 4.8108
_cell_length_b 4.8108
_cell_length_c 4.8108
_cell_angle_alpha 90.00
_cell_angle_beta 90.00
_cell_angle_gamma 90.00
loop_
_atom_site_label
_atom_site_type_symbol
_atom_site_fract_x
_atom_site_fract_y
_atom_site_fract_z
Sc1 Sc 0.0000 0.0000 0.5000
Sb1 Sb 0.5000 0.5000 0.5000
S1 S 0.0000 0.0000 0.0000

Record 18
# YCuHg2, optimized geometry, DFT PBE-GGA
# magnetization = 0.000 μB/f.u.
# energy of formation = -0.16 eV/atom
data_YCuHg2
_chemical_formula_sum 'Y1 Cu1 Hg2'
_symmetry_space_group_name_H-M 'P 4/m m m'
_symmetry_Int_Tables_number 123
_symmetry_space_group_name_Hall '-P 4 2'
_cell_length_a 4.4401
_cell_length_b 4.4401
_cell_length_c 4.5046
_cell_angle_alpha 90.00
_cell_angle_beta 90.00
_cell_angle_gamma 90.00
loop_
_atom_site_label
_atom_site_type_symbol
_atom_site_fract_x
_atom_site_fract_y
_atom_site_fract_z
Y1 Y 0.0000 0.0000 0.0000
Cu1 Cu 0.5000 0.5000 0.0000
Hg1 Hg 0.0000 0.5000 0.5000

Record 19
# ZrP2IrCl, optimized geometry, DFT PBE-GGA
# magnetization = 1.844 μB/f.u.
# E above lowest polymorph = 0.521 eV/atom
# ΔE_f (raw) = 872.0 meV per atom
data_ZrP2IrCl
_chemical_formula_sum 'Zr1 P2 Ir1 Cl1'
_symmetry_space_group_name_H-M 'P 4/m m m'
_symmetry_Int_Tables_number 123
_symmetry_space_group_name_Hall '-P 4 2'
_cell_length_a 5.0577
_cell_length_b 5.0577
_cell_length_c 4.7676
_cell_angle_alpha 90.00
_cell_angle_beta 90.00
_cell_angle_gamma 90.00
loop_
_atom_site_label
_atom_site_type_symbol
_atom_site_fract_x
_atom_site_fract_y
_atom_site_fract_z
Zr1 Zr 0.0000 0.0000 0.0000
P1 P 0.0000 0.5000 0.0000
Ir1 Ir 0.5000 0.5000 0.5000
Cl1 Cl 0.0000 0.0000 0.5000

Record 20
# Ho5Zn2Se2, optimized geometry, DFT PBE-GGA
# magnetization = 0.000 μB/f.u.
# ΔE_f (raw) = -867.4 meV per atom
data_Ho5Zn2Se2
_chemical_formula_sum 'Ho20 Zn8 Se8'
_symmetry_space_group_name_H-M 'C m c e'
_symmetry_Int_Tables_number 64
_symmetry_space_group_name_Hall '-C 2ac 2'
_cell_length_a 14.9382
_cell_length_b 7.6368
_cell_length_c 7.5357
_cell_angle_alpha 90.00
_cell_angle_beta 90.00
_cell_angle_gamma 90.00
loop_
_atom_site_label
_atom_site_type_symbol
_atom_site_fract_x
_atom_site_fract_y
_atom_site_fract_z
Ho1 Ho 0.0000 0.0000 0.0000
Ho2 Ho 0.1387 0.1690 0.3394
Zn1 Zn 0.0000 0.1265 0.6215
Se1 Se 0.1987 0.0000 0.0000

Record 21
# NaMg30GaO32, optimized geometry, DFT PBE-GGA
# magnetization = 0.000 μB/f.u.
# ΔE_f (raw) = -2637.4 meV per atom
data_NaMg30GaO32
_chemical_formula_sum 'Na1 Mg30 Ga1 O32'
_symmetry_space_group_name_H-M 'P 4/m m m'
_symmetry_Int_Tables_number 123
_symmetry_space_group_name_Hall '-P 4 2'
_cell_length_a 8.5289
_cell_length_b 8.5289
_cell_length_c 8.5336
_cell_angle_alpha 90.00
_cell_angle_beta 90.00
_cell_angle_gamma 90.00
loop_
_atom_site_label
_atom_site_type_symbol
_atom_site_fract_x
_atom_site_fract_y
_atom_site_fract_z
Na1 Na 0.0000 0.0000 0.0000
Mg1 Mg 0.0000 0.0000 0.5000
Mg2 Mg 0.0000 0.2479 0.2491
Mg3 Mg 0.0000 0.5000 0.0000
Mg4 Mg 0.0000 0.5000 0.5000
Mg5 Mg 0.2463 0.2463 0.0000
Mg6 Mg 0.2478 0.5000 0.2513
Mg7 Mg 0.2489 0.2489 0.5000
Mg8 Mg 0.5000 0.5000 0.5000
Ga1 Ga 0.5000 0.5000 0.0000
O1 O 0.0000 0.0000 0.2628
O2 O 0.0000 0.2532 0.5000
O3 O 0.0000 0.2647 0.0000
O4 O 0.0000 0.5000 0.2507
O5 O 0.2509 0.2509 0.2495
O6 O 0.2527 0.5000 0.5000
O7 O 0.2608 0.5000 0.0000
O8 O 0.5000 0.5000 0.2434